(a)
Computed, not measured: a relaxed MgBe2Cl crystal at the PBEsol level of DFT.

Output
* DOS(E_F): 0.394 states/eV/atom
* space group: Imm2, No. 44
* volume: 65.78 Å³/f.u.

Lattice parameters (Å, degrees): 5.244 5.244 5.244 148.22 118.52 70.88
Fractional coordinates of all 4 atoms:
Mg 0.000 0.000 0.000
Be 0.278 0.778 0.500
Be 0.484 0.484 0.000
Cl 0.661 0.161 0.500



(b)
Computed, not measured: a relaxed MgBe2Cl crystal at the PBEsol level of DFT.

Output
* DOS(E_F): 0.357 states/eV/atom
* space group: I-4m2, No. 119
* volume: 60.57 Å³/f.u.

Lattice parameters (Å, degrees): 4.985 4.985 4.985 135.21 135.21 65.20
Fractional coordinates of all 4 atoms:
Mg 0.000 0.000 0.000
Be 0.500 0.500 0.000
Be 0.750 0.250 0.500
Cl 0.250 0.750 0.500



Relative energies in meV/atom: (a) 0; (b) 265



(a)
Computed, not measured: a relaxed MnBeCl2 crystal at the PBEsol level of DFT.

Output
* DOS(E_F): 0.327 states/eV/atom
* space group: C2/m, No. 12
* volume: 70.50 Å³/f.u.

Lattice parameters (Å, degrees): 6.479 6.479 3.197 104.02 104.02 32.89
Fractional coordinates of all 4 atoms:
Mn 0.000 0.000 0.000
Be 0.500 0.500 0.500
Cl 0.366 0.366 0.868
Cl 0.634 0.634 0.132



(b)
Computed, not measured: a relaxed MnBeCl2 crystal at the PBEsol level of DFT.

Output
* DOS(E_F): 0.528 states/eV/atom
* space group: Pmmm, No. 47
* volume: 64.86 Å³/f.u.

Lattice parameters (Å, degrees): 3.098 3.719 5.629 90.00 90.00 90.00
Fractional coordinates of all 4 atoms:
Mn 0.000 0.000 0.000
Be 0.500 0.000 0.500
Cl 0.000 0.500 0.500
Cl 0.500 0.500 0.000



Relative energies in meV/atom: (a) 0; (b) 463



(a)
Computed, not measured: a relaxed MnBeCl crystal at the PBEsol level of DFT.

Output
* DOS(E_F): 0.476 states/eV/atom
* space group: F-43m, No. 216
* volume: 40.84 Å³/f.u.

Lattice parameters (Å, degrees): 3.865 3.865 3.865 60.00 60.00 60.00
Fractional coordinates of all 3 atoms:
Mn 0.000 0.000 0.000
Be 0.500 0.500 0.500
Cl 0.250 0.250 0.250



(b)
Computed, not measured: a relaxed MnBeCl crystal at the PBEsol level of DFT.

Output
* DOS(E_F): 0.495 states/eV/atom
* space group: P-6m2, No. 187
* volume: 36.79 Å³/f.u.

Lattice parameters (Å, degrees): 3.861 3.861 2.850 90.00 90.00 120.00
Fractional coordinates of all 3 atoms:
Mn 0.000 0.000 0.000
Be 0.333 0.667 0.500
Cl 0.667 0.333 0.000



Relative energies in meV/atom: (a) 369; (b) 0



(a)
Computed, not measured: a relaxed Be2MoCl crystal at the PBEsol level of DFT.

Output
* DOS(E_F): 0.522 states/eV/atom
* space group: C2/m, No. 12
* volume: 54.28 Å³/f.u.

Lattice parameters (Å, degrees): 4.542 4.542 4.622 99.82 99.82 35.35
Fractional coordinates of all 4 atoms:
Be 0.212 0.212 0.336
Be 0.788 0.788 0.664
Mo 0.500 0.500 0.500
Cl 0.000 0.000 0.000



(b)
Computed, not measured: a relaxed Be2MoCl crystal at the PBEsol level of DFT.

Output
* DOS(E_F): 0.475 states/eV/atom
* space group: Amm2, No. 38
* volume: 50.30 Å³/f.u.

Lattice parameters (Å, degrees): 3.989 4.838 4.838 32.60 90.00 90.00
Fractional coordinates of all 4 atoms:
Be 0.000 0.000 0.000
Be 0.500 0.111 0.111
Mo 0.000 0.718 0.718
Cl 0.500 0.872 0.872



Relative energies in meV/atom: (a) 240; (b) 0



(a)
Computed, not measured: a relaxed BeS2NCl crystal at the PBEsol level of DFT.

Output
* DOS(E_F): 0.793 states/eV/atom
* space group: P4/mmm, No. 123
* volume: 68.46 Å³/f.u.

Lattice parameters (Å, degrees): 4.677 4.677 3.129 90.00 90.00 90.00
Fractional coordinates of all 5 atoms:
Be 0.000 0.000 0.000
S 0.000 0.500 0.000
S 0.500 0.000 0.000
N 0.000 0.000 0.500
Cl 0.500 0.500 0.500



(b)
Computed, not measured: a relaxed BeS2NCl crystal at the PBEsol level of DFT.

Output
* DOS(E_F): 0.539 states/eV/atom
* space group: P4/mmm, No. 123
* volume: 74.28 Å³/f.u.

Lattice parameters (Å, degrees): 4.708 4.708 3.351 90.00 90.00 90.00
Fractional coordinates of all 5 atoms:
Be 0.000 0.000 0.000
S 0.000 0.500 0.500
S 0.500 0.000 0.500
N 0.500 0.500 0.000
Cl 0.500 0.500 0.500



Relative energies in meV/atom: (a) 0; (b) 865



(a)
Computed, not measured: a relaxed BeOs2Cl crystal at the PBEsol level of DFT.

Output
* DOS(E_F): 1.106 states/eV/atom
* space group: P4/mmm, No. 123
* volume: 53.37 Å³/f.u.

Lattice parameters (Å, degrees): 2.826 2.826 6.683 90.00 90.00 90.00
Fractional coordinates of all 4 atoms:
Be 0.000 0.000 0.000
Os 0.500 0.500 0.188
Os 0.500 0.500 0.812
Cl 0.000 0.000 0.500



(b)
Computed, not measured: a relaxed BeOs2Cl crystal at the PBEsol level of DFT.

Output
* DOS(E_F): 0.932 states/eV/atom
* space group: Pmmm, No. 47
* volume: 53.94 Å³/f.u.

Lattice parameters (Å, degrees): 2.688 4.198 4.779 90.00 90.00 90.00
Fractional coordinates of all 4 atoms:
Be 0.000 0.000 0.000
Os 0.000 0.500 0.500
Os 0.500 0.500 0.000
Cl 0.500 0.000 0.500



Relative energies in meV/atom: (a) 0; (b) 164



(a)
Computed, not measured: a relaxed BeOsCl crystal at the PBEsol level of DFT.

Output
* DOS(E_F): 1.028 states/eV/atom
* space group: F-43m, No. 216
* volume: 43.71 Å³/f.u.

Lattice parameters (Å, degrees): 3.954 3.954 3.954 60.00 60.00 60.00
Fractional coordinates of all 3 atoms:
Be 0.000 0.000 0.000
Os 0.750 0.750 0.750
Cl 0.500 0.500 0.500



(b)
Computed, not measured: a relaxed BeOsCl crystal at the PBEsol level of DFT.

Output
* DOS(E_F): 0.660 states/eV/atom
* space group: Fmm2, No. 42
* volume: 45.98 Å³/f.u.

Lattice parameters (Å, degrees): 7.375 7.124 2.743 84.31 73.97 21.72
Fractional coordinates of all 3 atoms:
Be 0.000 0.000 0.000
Os 0.637 0.637 0.363
Cl 0.394 0.394 0.606



Relative energies in meV/atom: (a) 815; (b) 0



(a)
Computed, not measured: a relaxed BeOsCl2 crystal at the PBEsol level of DFT.

Output
* DOS(E_F): 0.012 states/eV/atom
* space group: Cm, No. 8
* volume: 76.15 Å³/f.u.

Lattice parameters (Å, degrees): 3.909 3.909 7.109 93.72 93.72 44.65
Fractional coordinates of all 4 atoms:
Be 0.000 0.000 0.000
Os 0.733 0.733 0.125
Cl 0.286 0.286 0.370
Cl 0.607 0.607 0.813



(b)
Computed, not measured: a relaxed BeOsCl2 crystal at the PBEsol level of DFT.

Output
* DOS(E_F): 0.703 states/eV/atom
* space group: F-43m, No. 216
* volume: 59.21 Å³/f.u.

Lattice parameters (Å, degrees): 4.375 4.375 4.375 60.00 60.00 60.00
Fractional coordinates of all 4 atoms:
Be 0.000 0.000 0.000
Os 0.250 0.250 0.250
Cl 0.500 0.500 0.500
Cl 0.750 0.750 0.750



(c)
Computed, not measured: a relaxed BeOsCl2 crystal at the PBEsol level of DFT.

Output
* DOS(E_F): 0.776 states/eV/atom
* space group: Imm2, No. 44
* volume: 90.00 Å³/f.u.

Lattice parameters (Å, degrees): 5.858 5.858 5.858 152.27 100.57 86.07
Fractional coordinates of all 4 atoms:
Be 0.000 0.000 0.000
Os 0.233 0.733 0.500
Cl 0.443 0.443 0.000
Cl 0.838 0.338 0.500



Relative energies in meV/atom: (a) 0; (b) 1361; (c) 447